Record 1
Material: Nd2Mn2Te2Se3
Method: DFT, PBE
State: optimized geometry

* uncorrected formation energy: -0.886 eV per atom

Structure (extended XYZ):
```
9
Lattice="-2.477 2.477 9.832 2.477 -2.477 9.832 2.477 2.477 -9.832" Properties=species:S:1:pos:R:3 pbc="T T T"
Nd 0.000 0.000 3.355
Nd 0.000 0.000 16.309
Mn 2.477 0.000 0.000
Mn 0.000 2.477 0.000
Te 0.000 0.000 7.943
Te 0.000 0.000 11.720
Se 0.000 0.000 0.000
Se 2.477 0.000 4.916
Se 0.000 2.477 4.916
```

=====

Record 2
Material: CdIn2ReRh
Method: DFT, PBE
State: optimized geometry

* formation energy: 0.847 eV per atom

Structure (extended XYZ):
```
5
Lattice="5.103 0.000 0.000 0.000 5.103 0.000 0.000 0.000 4.842" Properties=species:S:1:pos:R:3 pbc="T T T"
Cd 0.000 0.000 0.000
In 0.000 2.552 2.421
In 2.552 0.000 2.421
Re 2.552 2.552 0.000
Rh 2.552 2.552 2.421
```

=====

Record 3
Material: Zr4TeRh
Method: DFT, PBE
State: optimized geometry

* uncorrected formation energy: 0.198 eV per atom

Structure (extended XYZ):
```
6
Lattice="0.000 4.011 4.011 4.011 0.000 4.011 4.011 4.011 0.000" Properties=species:S:1:pos:R:3 pbc="T T T"
Zr 1.000 1.000 1.000
Zr 3.011 3.011 1.000
Zr 3.011 1.000 3.011
Zr 1.000 3.011 3.011
Te 4.011 4.011 4.011
Rh 6.016 6.016 6.016
```

=====

Record 4
Material: Ac2Nd4Er7
Method: DFT, PBE
State: optimized geometry

* formation energy: 0.202 eV per atom

Structure (extended XYZ):
```
13
Lattice="6.196 0.000 0.000 -3.098 5.366 0.000 0.000 0.000 13.610" Properties=species:S:1:pos:R:3 pbc="T T T"
Ac 0.000 3.577 0.000
Ac 3.098 1.789 0.000
Nd 0.000 0.000 5.357
Nd 0.000 0.000 8.253
Nd 0.000 3.577 6.805
Nd 3.098 1.789 6.805
Er 0.000 0.000 0.000
Er -1.082 1.874 2.930
Er -2.016 3.492 10.679
Er 2.164 0.000 2.930
Er 1.082 1.874 10.679
Er 4.032 0.000 10.679
Er 2.016 3.492 2.930
```

=====

| no. | total moment (μB per cell) | VASP energy (Ha/atom) |
| --- | --- | --- |
| 1 | 9.6 | -0.215 |
| 2 | 1.9 | -0.161 |
| 3 | 0.0 | -0.266 |
| 4 | 0.0 | -0.160 |